Run w
An optimized crystal structure of ZnOsSe. Source: the Alexandria database, functional PBE.

Cell and atoms, written as POSCAR:
```
ZnOsSe
1.0
3.061 0.000 0.000
-1.531 2.651 0.000
0.000 0.000 6.115
Zn Se Os
1 1 1
Direct
0.667 0.333 0.687
0.333 0.667 0.300
0.000 0.000 0.013
```

## Properties
Mass density, g cm⁻³: 11.2

Run x
An optimized crystal structure of ZnOsSe. Source: the Alexandria database, functional PBE.

Cell and atoms, written as POSCAR:
```
ZnOsSe
1.0
-1.519 -2.536 3.034
-1.173 -3.960 -0.940
2.307 -3.276 1.375
Os Zn Se
1 1 1
Direct
0.750 0.750 0.750
0.500 0.500 0.500
0.000 0.000 0.000
```

## Properties
Mass density, g cm⁻³: 10.3

Run y
An optimized crystal structure of ZnOsSe. Source: the Alexandria database, functional PBE.

Cell and atoms, written as POSCAR:
```
ZnOsSe
1.0
-5.993 1.619 -0.360
-5.552 -2.459 -1.338
5.511 -0.095 2.877
Se Os Zn
1 1 1
Direct
0.369 0.369 0.000
0.991 0.991 0.000
0.640 0.640 0.000
```

## Properties
Mass density, g cm⁻³: 10.7

What should be chosen as the least stable of them? Choose run x.